No. 1
# SmMn6Sn4Ge2

SmMn6Sn4Ge2 at its PBEsol-relaxed geometry (meta-GGA SCAN, the Alexandria database).

As for the density of states at the Fermi level: 0.46 states/eV per atom. As for the energy relative to the elements: -0.31 eV per atom.

```
data_SmMn6Sn4Ge2
_cell_length_a 5.2762
_cell_length_b 5.2762
_cell_length_c 8.5860
_cell_angle_alpha 90.00
_cell_angle_beta 90.00
_cell_angle_gamma 120.00
_space_group_name_H-M_alt 'P 6/m m m'
_space_group_IT_number 191
_space_group_name_Hall '-P 6 2'
loop_
_atom_site_label
_atom_site_type_symbol
_atom_site_fract_x
_atom_site_fract_y
_atom_site_fract_z
Sm1 Sm 0.0000 0.0000 0.0000
Mn1 Mn 0.0000 0.5000 0.2340
Sn1 Sn 0.0000 0.0000 0.3356
Sn2 Sn 0.3333 0.6667 0.5000
Ge1 Ge 0.3333 0.6667 0.0000
```

No. 2
# Mn3SnGe

Mn3SnGe at its PBEsol-relaxed geometry (meta-GGA SCAN, the Alexandria database).

As for the density of states at the Fermi level: 0.45 states/eV per atom. As for the energy relative to the elements: 0.20 eV per atom.

```
data_Mn3SnGe
_cell_length_a 4.542
_cell_length_b 4.542
_cell_length_c 4.542
_cell_angle_alpha 90.00
_cell_angle_beta 90.00
_cell_angle_gamma 90.00
_space_group_name_H-M_alt 'P m -3 m'
_space_group_IT_number 221
_space_group_name_Hall '-P 4 2 3'
loop_
_atom_site_label
_atom_site_type_symbol
_atom_site_fract_x
_atom_site_fract_y
_atom_site_fract_z
Mn1 Mn 0.000 0.000 0.500
Sn1 Sn 0.500 0.500 0.500
Ge1 Ge 0.000 0.000 0.000
```

No. 3
# SrMn2Ge2

SrMn2Ge2 at its PBEsol-relaxed geometry (meta-GGA SCAN, the Alexandria database).

As for the density of states at the Fermi level: 0.47 states/eV per atom. As for the energy relative to the elements: -0.44 eV per atom.

```
data_SrMn2Ge2
_cell_length_a 4.011
_cell_length_b 4.011
_cell_length_c 11.168
_cell_angle_alpha 90.00
_cell_angle_beta 90.00
_cell_angle_gamma 90.00
_space_group_name_H-M_alt 'I 4/m m m'
_space_group_IT_number 139
_space_group_name_Hall '-I 4 2'
loop_
_atom_site_label
_atom_site_type_symbol
_atom_site_fract_x
_atom_site_fract_y
_atom_site_fract_z
Sr1 Sr 0.000 0.000 0.000
Mn1 Mn 0.000 0.500 0.250
Ge1 Ge 0.000 0.000 0.368
```

No. 4
# TbMn2Ge2

TbMn2Ge2 at its PBEsol-relaxed geometry (meta-GGA SCAN, the Alexandria database).

As for the density of states at the Fermi level: 0.51 states/eV per atom. As for the energy relative to the elements: -0.64 eV per atom.

```
data_TbMn2Ge2
_cell_length_a 3.884
_cell_length_b 3.884
_cell_length_c 10.651
_cell_angle_alpha 90.00
_cell_angle_beta 90.00
_cell_angle_gamma 90.00
_space_group_name_H-M_alt 'I 4/m m m'
_space_group_IT_number 139
_space_group_name_Hall '-I 4 2'
loop_
_atom_site_label
_atom_site_type_symbol
_atom_site_fract_x
_atom_site_fract_y
_atom_site_fract_z
Tb1 Tb 0.000 0.000 0.000
Mn1 Mn 0.000 0.500 0.250
Ge1 Ge 0.000 0.000 0.380
```

No. 5
# MnTc3Ge

MnTc3Ge at its PBEsol-relaxed geometry (meta-GGA SCAN, the Alexandria database).

As for the density of states at the Fermi level: 0.84 states/eV per atom. As for the energy relative to the elements: 1.12 eV per atom.

```
data_MnTc3Ge
_cell_length_a 4.463
_cell_length_b 4.463
_cell_length_c 4.463
_cell_angle_alpha 90.00
_cell_angle_beta 90.00
_cell_angle_gamma 90.00
_space_group_name_H-M_alt 'P m -3 m'
_space_group_IT_number 221
_space_group_name_Hall '-P 4 2 3'
loop_
_atom_site_label
_atom_site_type_symbol
_atom_site_fract_x
_atom_site_fract_y
_atom_site_fract_z
Mn1 Mn 0.000 0.000 0.000
Tc1 Tc 0.000 0.500 0.500
Ge1 Ge 0.500 0.500 0.500
```

No. 6
# MnTl2GeTe4

MnTl2GeTe4 at its PBEsol-relaxed geometry (meta-GGA SCAN, the Alexandria database).

As for the uncorrected formation energy: -0.30 eV per atom.

```
data_MnTl2GeTe4
_cell_length_a 8.328
_cell_length_b 8.328
_cell_length_c 6.777
_cell_angle_alpha 90.00
_cell_angle_beta 90.00
_cell_angle_gamma 90.00
_space_group_name_H-M_alt 'I -4 2 m'
_space_group_IT_number 121
_space_group_name_Hall 'I -4 2'
loop_
_atom_site_label
_atom_site_type_symbol
_atom_site_fract_x
_atom_site_fract_y
_atom_site_fract_z
Mn1 Mn 0.000 0.000 0.000
Tl1 Tl 0.000 0.500 0.000
Ge1 Ge 0.000 0.000 0.500
Te1 Te 0.175 0.175 0.741
```

No. 7
# YMnGe2

YMnGe2 at its PBEsol-relaxed geometry (meta-GGA SCAN, the Alexandria database).

As for the density of states at the Fermi level: 0.78 states/eV per atom. As for the energy relative to the elements: -0.30 eV per atom.

```
data_YMnGe2
_cell_length_a 6.610
_cell_length_b 6.610
_cell_length_c 6.610
_cell_angle_alpha 90.00
_cell_angle_beta 90.00
_cell_angle_gamma 90.00
_space_group_name_H-M_alt 'F m -3 m'
_space_group_IT_number 225
_space_group_name_Hall '-F 4 2 3'
loop_
_atom_site_label
_atom_site_type_symbol
_atom_site_fract_x
_atom_site_fract_y
_atom_site_fract_z
Y1 Y 0.000 0.000 0.000
Mn1 Mn 0.000 0.000 0.500
Ge1 Ge 0.250 0.250 0.250
```

No. 8
# Mn3ZnGe

Mn3ZnGe at its PBEsol-relaxed geometry (meta-GGA SCAN, the Alexandria database).

As for the density of states at the Fermi level: 0.43 states/eV per atom. As for the energy relative to the elements: 0.47 eV per atom.

```
data_Mn3ZnGe
_cell_length_a 4.445
_cell_length_b 4.445
_cell_length_c 4.445
_cell_angle_alpha 90.00
_cell_angle_beta 90.00
_cell_angle_gamma 90.00
_space_group_name_H-M_alt 'P m -3 m'
_space_group_IT_number 221
_space_group_name_Hall '-P 4 2 3'
loop_
_atom_site_label
_atom_site_type_symbol
_atom_site_fract_x
_atom_site_fract_y
_atom_site_fract_z
Mn1 Mn 0.000 0.000 0.500
Zn1 Zn 0.500 0.500 0.500
Ge1 Ge 0.000 0.000 0.000
```

No. 9
# ZrMn6Ge6

ZrMn6Ge6 at its PBEsol-relaxed geometry (meta-GGA SCAN, the Alexandria database).

As for the density of states at the Fermi level: 0.31 states/eV per atom. As for the energy relative to the elements: -0.44 eV per atom.

```
data_ZrMn6Ge6
_cell_length_a 5.0406
_cell_length_b 5.0406
_cell_length_c 7.9981
_cell_angle_alpha 90.00
_cell_angle_beta 90.00
_cell_angle_gamma 120.00
_space_group_name_H-M_alt 'P 6/m m m'
_space_group_IT_number 191
_space_group_name_Hall '-P 6 2'
loop_
_atom_site_label
_atom_site_type_symbol
_atom_site_fract_x
_atom_site_fract_y
_atom_site_fract_z
Zr1 Zr 0.0000 0.0000 0.0000
Mn1 Mn 0.0000 0.5000 0.2491
Ge1 Ge 0.0000 0.0000 0.3402
Ge2 Ge 0.3333 0.6667 0.0000
Ge3 Ge 0.3333 0.6667 0.5000
```

No. 10
# Ge3Mo5

Ge3Mo5 at its PBEsol-relaxed geometry (meta-GGA SCAN, the Alexandria database).

As for the density of states at the Fermi level: 0.46 states/eV per atom. As for the energy relative to the elements: -0.16 eV per atom.

```
data_Ge3Mo5
_cell_length_a 9.793
_cell_length_b 9.793
_cell_length_c 4.928
_cell_angle_alpha 90.00
_cell_angle_beta 90.00
_cell_angle_gamma 90.00
_space_group_name_H-M_alt 'I 4/m c m'
_space_group_IT_number 140
_space_group_name_Hall '-I 4 2c'
loop_
_atom_site_label
_atom_site_type_symbol
_atom_site_fract_x
_atom_site_fract_y
_atom_site_fract_z
Ge1 Ge 0.000 0.000 0.250
Ge2 Ge 0.168 0.332 0.000
Mo1 Mo 0.000 0.500 0.250
Mo2 Mo 0.077 0.230 0.500
```

No. 11
# GeMoSeN2

GeMoSeN2 at its PBEsol-relaxed geometry (meta-GGA SCAN, the Alexandria database).

As for the density of states at the Fermi level: 0.43 states/eV per atom. As for the uncorrected formation energy: 1.29 eV per atom.

```
data_GeMoSeN2
_cell_length_a 3.777
_cell_length_b 3.777
_cell_length_c 4.932
_cell_angle_alpha 90.00
_cell_angle_beta 90.00
_cell_angle_gamma 90.00
_space_group_name_H-M_alt 'P 4/m m m'
_space_group_IT_number 123
_space_group_name_Hall '-P 4 2'
loop_
_atom_site_label
_atom_site_type_symbol
_atom_site_fract_x
_atom_site_fract_y
_atom_site_fract_z
Ge1 Ge 0.000 0.000 0.000
Mo1 Mo 0.500 0.500 0.500
Se1 Se 0.000 0.000 0.500
N1 N 0.000 0.500 0.000
```